1.
DFT (SCAN) results for a PBEsol-optimized structure of Na2LiBe2F7.

a = 7.5987 Å, b = 7.5987 Å, c = 4.7804 Å
α = 90.00°, β = 90.00°, γ = 90.00°
Closest atoms and distances in Å follow each position.
Positions (direct):
1 Na 0.1661 0.3339 0.0061  8 F 2.35-2.63
2 Na 0.3339 0.8339 0.9939  8 F 2.35-2.63
3 Na 0.6661 0.1661 0.9939  8 F 2.35-2.63
4 Na 0.8339 0.6661 0.0061  8 F 2.35-2.63
5 Li 0.0000 0.0000 0.5000  4 F 1.83
6 Li 0.5000 0.5000 0.5000  4 F 1.83
7 Be 0.1411 0.6411 0.5692  4 F 1.52-1.61
8 Be 0.3589 0.1411 0.4308  4 F 1.52-1.61
9 Be 0.6411 0.8589 0.4308  4 F 1.52-1.61
10 Be 0.8589 0.3589 0.5692  4 F 1.52-1.61
11 F 0.0000 0.5000 0.6803  2 Be 1.61
12 F 0.0832 0.8155 0.7074  1 Be 1.54
13 F 0.1425 0.6425 0.2506  1 Be 1.52
14 F 0.1845 0.0832 0.2926  1 Be 1.54
15 F 0.3155 0.5832 0.7074  1 Be 1.54
16 F 0.3575 0.1425 0.7494  1 Be 1.52
17 F 0.4168 0.3155 0.2926  1 Be 1.54
18 F 0.5000 0.0000 0.3197  2 Be 1.61
19 F 0.5832 0.6845 0.2926  1 Be 1.54
20 F 0.6425 0.8575 0.7494  1 Be 1.52
21 F 0.6845 0.4168 0.7074  1 Be 1.54
22 F 0.8155 0.9168 0.2926  1 Be 1.54
23 F 0.8575 0.3575 0.2506  1 Be 1.52
24 F 0.9168 0.1845 0.7074  1 Be 1.54

Results
**Volume**: 276 Å³ per cell
**Formation energy (no corrections)**: -3.27 eV per atom
**ρ**: 2.45 Mg/m³
**SG**: P-42_1m, No. 113

=====

2.
DFT (SCAN) results for a PBEsol-optimized structure of K2CaTa.

a = 5.7028 Å, b = 5.7028 Å, c = 8.8694 Å
α = 92.09°, β = 92.09°, γ = 31.47°
Closest atoms and distances in Å follow each position.
Positions (direct):
1 K 0.0000 0.0000 0.0000  2 K 3.09
2 K 0.2417 0.2417 0.6618  2 K 3.09
3 Ca 0.7586 0.7586 0.2743  2 Ca 3.09, 3 Ta 3.14-3.17
4 Ta 0.4942 0.4942 0.3969  2 Ta 3.09, 3 Ca 3.14-3.17

Results
**Offset from the most stable computed form**: 0.000 eV/f.u.
**Volume**: 150 Å³ per cell
**ρ**: 3.30 Mg/m³
**SG**: Cm, No. 8

=====

3.
DFT (SCAN) results for a PBEsol-optimized structure of CdTcNi2.

a = 2.6785 Å, b = 2.6785 Å, c = 7.3736 Å
α = 90.00°, β = 90.00°, γ = 90.00°
Closest atoms and distances in Å follow each position.
Positions (direct):
1 Cd 0.0000 0.0000 0.0000  4 Cd 2.68, 8 Ni 2.75
2 Tc 0.0000 0.0000 0.5000  8 Ni 2.54, 4 Tc 2.68
3 Ni 0.5000 0.5000 0.2707  4 Tc 2.54, 4 Ni 2.68, 4 Cd 2.75
4 Ni 0.5000 0.5000 0.7293  4 Tc 2.54, 4 Ni 2.68, 4 Cd 2.75

Results
**Volume**: 53 Å³ per cell
**Energy**: -97.438 eV per cell
**ρ**: 10.29 Mg/m³
**SG**: P4/mmm, No. 123

=====

4.
DFT (SCAN) results for a PBEsol-optimized structure of CaSi2Br.

a = 5.0161 Å, b = 5.0161 Å, c = 5.0161 Å
α = 60.00°, β = 60.00°, γ = 60.00°
Closest atoms and distances in Å follow each position.
Positions (direct):
1 Ca 0.0000 0.0000 0.0000  8 Si 3.07
2 Si 0.2500 0.2500 0.2500  4 Br 3.07, 4 Ca 3.07
3 Si 0.7500 0.7500 0.7500  4 Br 3.07, 4 Ca 3.07
4 Br 0.5000 0.5000 0.5000  8 Si 3.07

Results
**Offset from the most stable computed form**: 5.469 eV/f.u.
**Volume**: 89 Å³ per cell
**Formation energy (no corrections)**: 0.63 eV per atom
**ρ**: 3.28 Mg/m³
**SG**: Fm-3m, No. 225

=====

5.
DFT (SCAN) results for a PBEsol-optimized structure of CaSm2O4.

a = 6.9099 Å, b = 6.9099 Å, c = 6.9099 Å
α = 60.00°, β = 60.00°, γ = 60.00°
Closest atoms and distances in Å follow each position.
Positions (direct):
1 Ca 0.1250 0.1250 0.1250  4 O 2.31
2 Ca 0.8750 0.8750 0.8750  4 O 2.31
3 Sm 0.0000 0.5000 0.5000  6 O 2.34
4 Sm 0.5000 0.0000 0.5000  6 O 2.34
5 Sm 0.5000 0.5000 0.0000  6 O 2.34
6 Sm 0.5000 0.5000 0.5000  6 O 2.34
7 O 0.2614 0.2614 0.2614  1 Ca 2.31, 3 Sm 2.34
8 O 0.2614 0.2614 0.7157  1 Ca 2.31, 3 Sm 2.34
9 O 0.2614 0.7157 0.2614  1 Ca 2.31, 3 Sm 2.34
10 O 0.2843 0.7386 0.7386  1 Ca 2.31, 3 Sm 2.34
11 O 0.7157 0.2614 0.2614  1 Ca 2.31, 3 Sm 2.34
12 O 0.7386 0.2843 0.7386  1 Ca 2.31, 3 Sm 2.34
13 O 0.7386 0.7386 0.2843  1 Ca 2.31, 3 Sm 2.34
14 O 0.7386 0.7386 0.7386  1 Ca 2.31, 3 Sm 2.34

Results
**Volume**: 233 Å³ per cell
**Formation energy (no corrections)**: -3.52 eV per atom
**ρ**: 5.76 Mg/m³
**SG**: Fd-3m, No. 227

=====

6.
DFT (SCAN) results for a PBEsol-optimized structure of HoLuIn2.

a = 5.1671 Å, b = 5.1671 Å, c = 5.1671 Å
α = 60.00°, β = 60.00°, γ = 60.00°
Closest atoms and distances in Å follow each position.
Positions (direct):
1 Ho 0.0000 0.0000 0.0000  8 In 3.16
2 Lu 0.5000 0.5000 0.5000  8 In 3.16
3 In 0.2500 0.2500 0.2500  4 Ho 3.16, 4 Lu 3.16
4 In 0.7500 0.7500 0.7500  4 Lu 3.16, 4 Ho 3.16

Results
**Volume**: 98 Å³ per cell
**Energy**: -173.385 eV per cell
**ρ**: 9.69 Mg/m³
**SG**: Fm-3m, No. 225

=====

7.
DFT (SCAN) results for a PBEsol-optimized structure of LiTi2V3O12.

a = 9.0262 Å, b = 8.9920 Å, c = 15.3476 Å
α = 90.00°, β = 125.17°, γ = 90.00°
Closest atoms and distances in Å follow each position.
Positions (direct):
1 Li 0.0231 0.2265 0.3138  4 O 1.97-2.01
2 Li 0.0231 0.2735 0.8138  4 O 1.97-2.01
3 Li 0.9769 0.7265 0.1862  4 O 1.97-2.01
4 Li 0.9769 0.7735 0.6862  4 O 1.97-2.01
5 Ti 0.1387 0.5375 0.3842  6 O 1.89-2.01
6 Ti 0.1387 0.9625 0.8842  6 O 1.89-2.01
7 Ti 0.3723 0.5222 0.1230  6 O 1.89-2.00
8 Ti 0.3723 0.9778 0.6230  6 O 1.89-2.00
9 Ti 0.6277 0.0222 0.3770  6 O 1.89-2.00
10 Ti 0.6277 0.4778 0.8770  6 O 1.89-2.00
11 Ti 0.8613 0.0375 0.1158  6 O 1.89-2.01
12 Ti 0.8613 0.4625 0.6158  6 O 1.89-2.01
13 V 0.0350 0.1063 0.6422  4 O 1.67-1.73
14 V 0.0350 0.3937 0.1422  4 O 1.67-1.73
15 V 0.2451 0.6183 0.6439  4 O 1.69-1.72
16 V 0.2451 0.8817 0.1439  4 O 1.69-1.72
17 V 0.4605 0.2471 0.9898  4 O 1.68-1.73
18 V 0.4605 0.2529 0.4898  4 O 1.68-1.73
19 V 0.5395 0.7471 0.5102  4 O 1.68-1.73
20 V 0.5395 0.7529 0.0102  4 O 1.68-1.73
21 V 0.7549 0.1183 0.8561  4 O 1.69-1.72
22 V 0.7549 0.3817 0.3561  4 O 1.69-1.72
23 V 0.9650 0.6063 0.8578  4 O 1.67-1.73
24 V 0.9650 0.8937 0.3578  4 O 1.67-1.73
25 O 0.0016 0.2205 0.1770  1 V 1.73
26 O 0.0016 0.2795 0.6770  1 V 1.73
27 O 0.0691 0.5229 0.2345  1 V 1.72
28 O 0.0691 0.9771 0.7345  1 V 1.72
29 O 0.0759 0.5896 0.6619  1 V 1.72
30 O 0.0759 0.9104 0.1619  1 V 1.72
31 O 0.1531 0.5568 0.9751  1 V 1.67
32 O 0.1531 0.9432 0.4751  1 V 1.67
33 O 0.1738 0.5699 0.5169  1 V 1.72, 1 Ti 1.89
34 O 0.1738 0.9301 0.0169  1 V 1.72, 1 Ti 1.89
35 O 0.2188 0.1074 0.6365  1 V 1.71, 1 Ti 1.91
36 O 0.2188 0.3926 0.1365  1 V 1.71, 1 Ti 1.91
37 O 0.2527 0.1579 0.9130  1 V 1.73
38 O 0.2527 0.3421 0.4130  1 V 1.73
39 O 0.2946 0.6984 0.1638  1 V 1.69
40 O 0.2946 0.8016 0.6638  1 V 1.69
41 O 0.3632 0.6271 0.4318  1 V 1.71, 1 Ti 1.89
42 O 0.3632 0.8729 0.9318  1 V 1.71, 1 Ti 1.89
43 O 0.4295 0.5134 0.7348  1 V 1.71, 1 Ti 1.89
44 O 0.4295 0.9866 0.2348  1 V 1.71, 1 Ti 1.89
45 O 0.4476 0.1283 0.5687  1 V 1.70
46 O 0.4476 0.3717 0.0687  1 V 1.70
47 O 0.4963 0.1660 0.4066  1 V 1.68
48 O 0.4963 0.3340 0.9066  1 V 1.68
49 O 0.5037 0.6660 0.0934  1 V 1.68
50 O 0.5037 0.8340 0.5934  1 V 1.68
51 O 0.5524 0.6283 0.9313  1 V 1.70
52 O 0.5524 0.8717 0.4313  1 V 1.70
53 O 0.5705 0.0134 0.7652  1 V 1.71, 1 Ti 1.89
54 O 0.5705 0.4866 0.2652  1 V 1.71, 1 Ti 1.89
55 O 0.6368 0.1271 0.0682  1 V 1.71, 1 Ti 1.89
56 O 0.6368 0.3729 0.5682  1 V 1.71, 1 Ti 1.89
57 O 0.7054 0.1984 0.3362  1 V 1.69
58 O 0.7054 0.3016 0.8362  1 V 1.69
59 O 0.7473 0.6579 0.5870  1 V 1.73
60 O 0.7473 0.8421 0.0870  1 V 1.73
61 O 0.7812 0.6074 0.8635  1 V 1.71, 1 Ti 1.91
62 O 0.7812 0.8926 0.3635  1 V 1.71, 1 Ti 1.91
63 O 0.8262 0.0699 0.9831  1 V 1.72, 1 Ti 1.89
64 O 0.8262 0.4301 0.4831  1 V 1.72, 1 Ti 1.89
65 O 0.8469 0.0568 0.5249  1 V 1.67
66 O 0.8469 0.4432 0.0249  1 V 1.67
67 O 0.9241 0.0896 0.8381  1 V 1.72
68 O 0.9241 0.4104 0.3381  1 V 1.72
69 O 0.9309 0.0229 0.2655  1 V 1.72
70 O 0.9309 0.4771 0.7655  1 V 1.72
71 O 0.9984 0.7205 0.3230  1 V 1.73
72 O 0.9984 0.7795 0.8230  1 V 1.73

Results
**Offset from the most stable computed form**: 0.000 eV/f.u.
**Volume**: 1018 Å³ per cell
**Formation energy (no corrections)**: -2.79 eV per atom
**ρ**: 2.92 Mg/m³
**SG**: P2_1/c, No. 14

=====

8.
DFT (SCAN) results for a PBEsol-optimized structure of Zr3Cd3AgF20.

a = 10.5605 Å, b = 10.5605 Å, c = 8.3764 Å
α = 90.00°, β = 90.00°, γ = 120.00°
Closest atoms and distances in Å follow each position.
Positions (direct):
1 Zr 0.1378 0.7228 0.2500  7 F 1.99-2.11
2 Zr 0.2772 0.4150 0.2500  7 F 1.99-2.11
3 Zr 0.4150 0.1378 0.7500  7 F 1.99-2.11
4 Zr 0.5850 0.8622 0.2500  7 F 1.99-2.11
5 Zr 0.7228 0.5850 0.7500  7 F 1.99-2.11
6 Zr 0.8622 0.2772 0.7500  7 F 1.99-2.11
7 Cd 0.1638 0.7303 0.7500  7 F 2.20-2.44
8 Cd 0.2697 0.4335 0.7500  7 F 2.20-2.44
9 Cd 0.4335 0.1638 0.2500  7 F 2.20-2.44
10 Cd 0.5665 0.8362 0.7500  7 F 2.20-2.44
11 Cd 0.7303 0.5665 0.2500  7 F 2.20-2.44
12 Cd 0.8362 0.2697 0.2500  7 F 2.20-2.44
13 Ag 0.0000 0.0000 0.2500  5 F 2.09-2.30
14 Ag 0.0000 0.0000 0.7500  5 F 2.09-2.30
15 F 0.0000 0.0000 0.0000  2 Ag 2.09
16 F 0.0000 0.0000 0.5000  2 Ag 2.09
17 F 0.0345 0.2329 0.7500  1 Zr 2.09, 1 Ag 2.30, 1 Cd 2.32
18 F 0.0550 0.2802 0.2500  1 Zr 2.05, 1 Cd 2.26
19 F 0.0604 0.4723 0.7500  1 Zr 2.08
20 F 0.1447 0.7194 0.0121  1 Zr 1.99, 1 Cd 2.20
21 F 0.1447 0.7194 0.4879  1 Zr 1.99, 1 Cd 2.20
22 F 0.1833 0.5501 0.2500  2 Zr 2.11
23 F 0.1984 0.9655 0.7500  1 Zr 2.09, 1 Ag 2.30, 1 Cd 2.32
24 F 0.2252 0.9450 0.2500  1 Zr 2.05, 1 Cd 2.26
25 F 0.2329 0.1984 0.2500  1 Zr 2.09, 1 Ag 2.30, 1 Cd 2.32
26 F 0.2802 0.2252 0.7500  1 Zr 2.05, 1 Cd 2.26
27 F 0.2806 0.4254 0.0121  1 Zr 1.99, 1 Cd 2.20
28 F 0.2806 0.4254 0.4879  1 Zr 1.99, 1 Cd 2.20
29 F 0.3333 0.6667 0.7500  3 Cd 2.20
30 F 0.3668 0.8167 0.2500  2 Zr 2.11
31 F 0.4119 0.9396 0.7500  1 Zr 2.08
32 F 0.4254 0.1447 0.5121  1 Zr 1.99, 1 Cd 2.20
33 F 0.4254 0.1447 0.9879  1 Zr 1.99, 1 Cd 2.20
34 F 0.4499 0.6332 0.2500  2 Zr 2.11
35 F 0.4723 0.4119 0.2500  1 Zr 2.08
36 F 0.5277 0.5881 0.7500  1 Zr 2.08
37 F 0.5501 0.3668 0.7500  2 Zr 2.11
38 F 0.5746 0.8553 0.0121  1 Zr 1.99, 1 Cd 2.20
39 F 0.5746 0.8553 0.4879  1 Zr 1.99, 1 Cd 2.20
40 F 0.5881 0.0604 0.2500  1 Zr 2.08
41 F 0.6332 0.1833 0.7500  2 Zr 2.11
42 F 0.6667 0.3333 0.2500  3 Cd 2.20
43 F 0.7194 0.5746 0.5121  1 Zr 1.99, 1 Cd 2.20
44 F 0.7194 0.5746 0.9879  1 Zr 1.99, 1 Cd 2.20
45 F 0.7198 0.7748 0.2500  1 Zr 2.05, 1 Cd 2.26
46 F 0.7671 0.8016 0.7500  1 Zr 2.09, 1 Ag 2.30, 1 Cd 2.32
47 F 0.7748 0.0550 0.7500  1 Zr 2.05, 1 Cd 2.26
48 F 0.8016 0.0345 0.2500  1 Zr 2.09, 1 Ag 2.30, 1 Cd 2.32
49 F 0.8167 0.4499 0.7500  2 Zr 2.11
50 F 0.8553 0.2806 0.5121  1 Zr 1.99, 1 Cd 2.20
51 F 0.8553 0.2806 0.9879  1 Zr 1.99, 1 Cd 2.20
52 F 0.9396 0.5277 0.2500  1 Zr 2.08
53 F 0.9450 0.7198 0.7500  1 Zr 2.05, 1 Cd 2.26
54 F 0.9655 0.7671 0.2500  1 Zr 2.09, 1 Ag 2.30, 1 Cd 2.32

Results
**Volume**: 809 Å³ per cell
**Formation energy (no corrections)**: -3.15 eV per atom
**ρ**: 4.51 Mg/m³
**SG**: P6_3/m, No. 176